--- one ---
Below is a relaxed structure of Pm3ZnCd, with properties calculated at the PBE level.

POSCAR file:
```
Pm3ZnCd
1.0
7.781 0.000 0.000
0.000 6.907 0.000
-2.515 0.000 10.395
Pm Zn Cd
12 4 4
Cartesian
-0.057 0.949 4.263
-1.314 2.504 9.461
0.206 3.674 6.536
1.463 6.686 1.338
0.669 0.148 7.640
1.926 3.305 2.443
3.340 3.602 7.952
4.597 6.758 2.755
3.803 0.220 9.056
5.061 3.233 3.859
6.580 4.403 0.934
5.323 5.957 6.131
-0.289 4.949 3.812
-1.546 5.411 9.010
6.812 1.496 1.385
5.555 1.958 6.582
1.106 4.928 10.092
2.363 5.432 4.895
2.903 1.475 5.499
4.160 1.978 0.302
```


--- two ---
Below is a relaxed structure of Pm3ZnCd, with properties calculated at the PBE level.

POSCAR file:
```
Pm3ZnCd
1.0
2.655 -9.994 0.000
2.655 9.994 0.000
0.000 0.000 5.307
Pm Zn Cd
6 2 2
Cartesian
2.655 8.701 3.980
2.655 4.998 3.980
2.655 1.296 3.980
2.655 -1.296 1.327
2.655 -4.998 1.327
2.655 -8.701 1.327
2.655 6.894 1.327
2.655 -6.894 3.980
2.655 3.124 1.327
2.655 -3.124 3.980
```


Most stable one: two, least stable one: one.


--- one ---
Below is a relaxed structure of PmZnCd, with properties calculated at the PBE level.

POSCAR file:
```
PmZnCd
1.0
2.656 1.534 6.038
-2.656 1.534 6.038
0.000 -3.067 6.038
Pm Zn Cd
2 2 2
Cartesian
0.000 0.000 4.373
0.000 0.000 13.741
0.000 0.000 1.263
0.000 0.000 16.850
0.000 0.000 7.613
0.000 0.000 10.501
```


--- two ---
Below is a relaxed structure of PmZnCd, with properties calculated at the PBE level.

POSCAR file:
```
PmZnCd
1.0
4.861 0.000 0.000
-2.430 4.210 0.000
0.000 0.000 3.441
Pm Zn Cd
1 1 1
Cartesian
0.000 0.000 0.000
2.430 1.403 1.720
0.000 2.806 1.720
```


--- three ---
Below is a relaxed structure of PmZnCd, with properties calculated at the PBE level.

POSCAR file:
```
PmZnCd
1.0
4.850 0.000 0.000
0.000 3.485 0.000
0.000 0.000 8.359
Pm Zn Cd
2 2 2
Cartesian
1.212 0.000 1.928
3.637 0.000 6.431
1.212 1.742 7.696
3.637 1.742 0.663
1.212 1.742 4.923
3.637 1.742 3.436
```


Most stable one: three, least stable one: one.


--- one ---
Below is a relaxed structure of PmZn2Cd, with properties calculated at the PBE level.

POSCAR file:
```
PmZn2Cd
1.0
3.455 0.000 0.000
0.000 3.455 0.000
0.000 0.000 7.191
Pm Zn Cd
1 2 1
Cartesian
0.000 0.000 0.000
1.728 1.728 1.991
1.728 1.728 5.201
0.000 0.000 3.596
```


--- two ---
Below is a relaxed structure of PmZn2Cd, with properties calculated at the PBE level.

POSCAR file:
```
PmZn2Cd
1.0
0.000 3.454 3.454
3.454 0.000 3.454
3.454 3.454 0.000
Pm Zn Cd
1 2 1
Cartesian
0.000 0.000 0.000
1.727 1.727 1.727
5.182 5.182 5.182
3.454 3.454 3.454
```


--- three ---
Below is a relaxed structure of PmZn2Cd, with properties calculated at the PBE level.

POSCAR file:
```
PmZn2Cd
1.0
4.569 0.000 0.000
0.000 4.569 0.000
0.000 0.000 4.277
Pm Zn Cd
1 2 1
Cartesian
0.000 0.000 0.000
0.000 2.284 2.138
2.284 0.000 2.138
2.284 2.284 0.000
```


Most stable one: two, least stable one: one.


--- one ---
Below is a relaxed structure of PmZn4Cd, with properties calculated at the PBE level.

POSCAR file:
```
PmZn4Cd
1.0
4.383 0.000 0.000
-2.192 3.796 0.000
0.000 0.000 7.031
Pm Zn Cd
1 4 1
Cartesian
0.000 0.000 0.000
0.000 2.531 1.961
0.000 2.531 5.070
2.192 1.265 1.961
2.192 1.265 5.070
0.000 0.000 3.515
```


--- two ---
Below is a relaxed structure of PmZn4Cd, with properties calculated at the PBE level.

POSCAR file:
```
PmZn4Cd
1.0
2.130 -8.398 0.000
2.130 8.398 0.000
0.000 0.000 6.590
Pm Zn Cd
2 8 2
Cartesian
2.130 6.531 4.942
2.130 -6.531 1.647
2.130 7.223 1.647
2.130 2.606 3.674
2.130 2.606 6.211
2.130 0.000 0.000
2.130 0.000 3.295
2.130 -2.606 0.379
2.130 -2.606 2.916
2.130 -7.223 4.942
2.130 4.453 1.647
2.130 -4.453 4.942
```


Most stable one: one, least stable one: two.


--- one ---
Below is a relaxed structure of Pm4Zn2Cd, with properties calculated at the PBE level.

POSCAR file:
```
Pm4Zn2Cd
1.0
2.573 1.486 8.986
-2.573 1.486 8.986
0.000 -2.971 8.986
Pm Zn Cd
4 2 1
Cartesian
0.000 0.000 3.225
0.000 0.000 7.903
0.000 0.000 19.055
0.000 0.000 23.734
0.000 0.000 10.862
0.000 0.000 16.096
0.000 0.000 13.479
```


--- two ---
Below is a relaxed structure of Pm4Zn2Cd, with properties calculated at the PBE level.

POSCAR file:
```
Pm4Zn2Cd
1.0
2.601 1.502 8.300
-2.601 1.502 8.300
0.000 -3.004 8.300
Pm Zn Cd
4 2 1
Cartesian
0.000 0.000 2.882
0.000 0.000 9.171
0.000 0.000 15.729
0.000 0.000 22.017
0.000 0.000 6.094
0.000 0.000 18.805
0.000 0.000 12.450
```


Most stable one: two, least stable one: one.


--- one ---
Below is a relaxed structure of Pm2Zn5Cd, with properties calculated at the PBE level.

POSCAR file:
```
Pm2Zn5Cd
1.0
3.827 -4.713 0.000
3.827 4.713 0.000
-3.811 0.000 4.709
Pm Zn Cd
2 5 1
Cartesian
3.827 2.352 0.000
3.827 -2.352 0.000
-1.884 0.000 4.221
1.936 2.842 2.354
3.630 0.000 2.357
1.936 -2.842 2.354
5.757 0.000 0.483
0.793 0.000 2.351
```


--- two ---
Below is a relaxed structure of Pm2Zn5Cd, with properties calculated at the PBE level.

POSCAR file:
```
Pm2Zn5Cd
1.0
2.212 -8.295 0.000
2.212 8.295 0.000
0.000 0.000 9.081
Pm Zn Cd
4 10 2
Cartesian
0.000 0.000 0.000
0.000 0.000 4.541
2.212 4.882 6.811
2.212 -4.882 2.270
2.212 5.242 0.985
2.212 5.242 3.555
2.212 2.570 0.169
2.212 2.570 4.371
2.212 1.729 6.811
2.212 -1.729 2.270
2.212 -2.570 4.710
2.212 -2.570 8.912
2.212 -5.242 5.526
2.212 -5.242 8.096
2.212 0.911 2.270
2.212 -0.911 6.811
```


Most stable one: two, least stable one: one.


--- one ---
Below is a relaxed structure of Pm4ZnCd, with properties calculated at the PBE level.

POSCAR file:
```
Pm4ZnCd
1.0
5.116 0.000 0.000
0.000 5.116 0.000
0.000 0.000 7.449
Pm Zn Cd
4 1 1
Cartesian
0.000 2.558 1.758
0.000 2.558 5.692
2.558 0.000 1.758
2.558 0.000 5.692
0.000 0.000 0.000
2.558 2.558 3.725
```


--- two ---
Below is a relaxed structure of Pm4ZnCd, with properties calculated at the PBE level.

POSCAR file:
```
Pm4ZnCd
1.0
3.690 0.000 0.000
0.000 3.690 0.000
0.000 0.000 12.853
Pm Zn Cd
4 1 1
Cartesian
0.000 0.000 1.810
0.000 0.000 11.043
1.845 1.845 4.372
1.845 1.845 8.481
1.845 1.845 0.000
0.000 0.000 6.426
```


Most stable one: two, least stable one: one.


--- one ---
Below is a relaxed structure of Pm2ZnCd2, with properties calculated at the PBE level.

POSCAR file:
```
Pm2ZnCd2
1.0
5.537 -2.386 0.000
5.537 2.386 0.000
-4.006 0.000 9.855
Pm Zn Cd
4 2 4
Cartesian
-0.901 0.000 3.468
1.655 0.000 0.929
5.412 0.000 8.926
7.967 0.000 6.387
0.231 0.000 6.622
6.836 0.000 3.232
2.335 0.000 4.112
4.837 0.000 1.290
2.230 0.000 8.565
4.732 0.000 5.742
```


--- two ---
Below is a relaxed structure of Pm2ZnCd2, with properties calculated at the PBE level.

POSCAR file:
```
Pm2ZnCd2
1.0
2.408 -7.704 0.000
2.408 7.704 0.000
0.000 0.000 3.404
Pm Zn Cd
2 1 2
Cartesian
2.408 6.023 0.000
2.408 -6.023 0.000
2.408 0.000 1.702
2.408 3.047 1.702
2.408 -3.047 1.702
```


Most stable one: one, least stable one: two.